Record 1
Tb3PrTl2 | the Alexandria database | PBE-GGA | relaxed; volume = 30.00 A^3/atom; electronic total energy = -4.17 eV per atom; ΔE_f = -0.27 eV per atom; offset from the most stable computed form = 0 meV/atom; space group = No. 26
1.0
-1.793 -4.693 1.225
6.262 -1.838 2.121
-2.202 3.280 9.345
Tl Tb Pr
4 6 2
direct
0.000 0.787 0.361 Tl
0.000 0.287 0.639 Tl
0.500 0.209 0.132 Tl
0.500 0.709 0.868 Tl
0.000 0.455 0.956 Tb
0.000 0.826 0.692 Tb
0.500 0.672 0.182 Tb
0.000 0.326 0.308 Tb
0.000 0.955 0.044 Tb
0.500 0.172 0.818 Tb
0.500 0.551 0.543 Pr
0.500 0.051 0.457 Pr

---

Record 2
Na3DyU2Se6 | the Alexandria database | PBE-GGA | relaxed; volume = 26.21 A^3/atom; E_form (uncorrected) = -16.10 eV/f.u.; electronic total energy = -5.68 eV per atom; space group = No. 12
1.0
7.174 -0.001 0.000
-3.586 6.213 0.000
-1.196 -2.071 7.057
Se Dy Na U
6 1 3 2
direct
0.410 0.078 0.233 Se
0.922 0.590 0.767 Se
0.746 0.746 0.233 Se
0.590 0.922 0.767 Se
0.078 0.410 0.233 Se
0.254 0.254 0.767 Se
0.000 0.000 0.000 Dy
0.834 0.166 0.500 Na
0.166 0.834 0.500 Na
0.500 0.500 0.500 Na
0.333 0.667 0.000 U
0.667 0.333 0.000 U